No. 1
Below is crystalline Si2AsRh at its relaxed geometry, with properties calculated at the PBE-GGA level.

POSCAR file:
```
Si2AsRh
1.0
0.000 3.129 3.129
3.129 0.000 3.129
3.129 3.129 0.000
As Rh Si
1 1 2
Direct
0.000 0.000 0.000
0.500 0.500 0.500
0.750 0.750 0.750
0.250 0.250 0.250
```

crystal system	cubic
formation energy from raw total energies	0.238	eV/atom



No. 2
Below is crystalline FeBMoN2 at its relaxed geometry, with properties calculated at the PBE-GGA level.

POSCAR file:
```
FeBMoN2
1.0
3.558 0.000 0.000
0.000 3.990 0.000
0.000 0.000 3.558
B N Fe Mo
1 2 1 1
Direct
0.000 0.500 0.000
0.000 0.000 0.500
0.500 0.000 0.000
0.000 0.000 0.000
0.500 0.500 0.500
```

crystal system	tetragonal
formation energy from raw total energies	1.185	eV/atom



No. 3
Below is crystalline V3ZnTc at its relaxed geometry, with properties calculated at the PBE-GGA level.

POSCAR file:
```
V3ZnTc
1.0
4.403 0.000 0.000
0.000 4.403 0.000
0.000 0.000 4.403
Tc V Zn
1 3 1
Direct
0.500 0.500 0.500
0.000 0.000 0.500
0.500 0.000 0.000
0.000 0.500 0.000
0.000 0.000 0.000
```

crystal system	cubic
formation energy from the elements	1.481	eV per atom